Density functional theory data (PBEsol) for a geometry-optimized Mn2ZnFe structure.

Calculated values
Space-group type: Pmmm
Magnetic moment, μB/f.u.: 4.444
Energy, eV per atom: -7.308
Energy relative to the elements, meV per atom: 209

Unit cell a=3.4825 b=3.4975 c=3.6648 alpha=90.00 beta=90.00 gamma=90.00
Last column: magnetic moment on the atom in μB.
Positions (direct):
Fe 0.0000 0.5000 0.5000  1.72
Mn 0.0000 0.0000 0.0000  1.38
Mn 0.5000 0.5000 0.0000  1.38
Zn 0.5000 0.0000 0.5000  -0.04



Density functional theory data (PBEsol) for a geometry-optimized Mn2ZnFe structure.

Calculated values
Space-group type: Pmm2
Magnetic moment, μB/f.u.: 1.867
Energy, eV per atom: -7.419
Energy relative to the elements, meV per atom: 98

Unit cell a=2.5307 b=3.4966 c=5.1241 alpha=90.00 beta=90.00 gamma=90.00
Last column: magnetic moment on the atom in μB.
Positions (direct):
Zn 0.0000 0.0000 0.5040  -0.03
Mn 0.0000 0.0000 0.0008  -1.86
Mn 0.5000 0.5000 0.2367  2.08
Fe 0.5000 0.5000 0.7586  1.66



Density functional theory data (PBEsol) for a geometry-optimized Mn2ZnFe structure.

Calculated values
Space-group type: P4/mmm
Magnetic moment, μB/f.u.: 2.211
Energy, eV per atom: -7.411
Energy relative to the elements, meV per atom: 106

Unit cell a=2.5021 b=2.5021 c=7.1023 alpha=90.00 beta=90.00 gamma=90.00
Last column: magnetic moment on the atom in μB.
Positions (direct):
Fe 0.5000 0.5000 0.5000  -0.99
Mn 0.0000 0.0000 0.7303  1.60
Mn 0.0000 0.0000 0.2697  1.60
Zn 0.5000 0.5000 0.0000  -0.04



Density functional theory data (PBEsol) for a geometry-optimized Mn2ZnFe structure.

Calculated values
Space-group type: P4mm
Magnetic moment, μB/f.u.: 2.019
Energy, eV per atom: -7.445
Energy relative to the elements, meV per atom: 72

Unit cell a=2.5303 b=2.5303 c=7.0207 alpha=90.00 beta=90.00 gamma=90.00
Last column: magnetic moment on the atom in μB.
Positions (direct):
Zn 0.0000 0.0000 0.5042  -0.04
Mn 0.0000 0.0000 0.9951  -1.28
Mn 0.5000 0.5000 0.2327  1.84
Fe 0.5000 0.5000 0.7680  1.50



Density functional theory data (PBEsol) for a geometry-optimized ZrMnFe3 structure.

Calculated values
Space-group type: Pm-3m
Magnetic moment, μB/f.u.: 2.019
Energy, eV per atom: -8.488
Energy relative to the elements, meV per atom: 660

Unit cell a=4.1149 b=4.1149 c=4.1149 alpha=90.00 beta=90.00 gamma=90.00
Last column: magnetic moment on the atom in μB.
Positions (direct):
Mn 0.0000 0.0000 0.0000  -0.08
Fe 0.0000 0.5000 0.0000  0.81
Fe 0.0000 0.0000 0.5000  0.81
Fe 0.5000 0.0000 0.0000  0.81
Zr 0.5000 0.5000 0.5000  -0.20



Density functional theory data (PBEsol) for a geometry-optimized Zr2MnFe3 structure.

Calculated values
Space-group type: R-3m
Magnetic moment, μB/f.u.: 5.279
Energy, eV per atom: -9.395
Energy relative to the elements, meV per atom: -256

Unit cell a=4.8765 b=4.8765 c=4.8960 alpha=60.13 beta=60.13 gamma=60.00
Last column: magnetic moment on the atom in μB.
Positions (direct):
Zr 0.1247 0.1247 0.6260  -0.31
Zr 0.8753 0.8753 0.3740  -0.31
Mn 0.5000 0.5000 0.5000  1.63
Fe 0.5000 0.0000 0.0000  1.54
Fe 0.5000 0.5000 0.0000  1.54
Fe 0.0000 0.5000 0.0000  1.54



Density functional theory data (PBEsol) for a geometry-optimized Fe3Mo structure.

Calculated values
Space-group type: P4/mmm
Magnetic moment, μB/f.u.: 5.286
Energy, eV per atom: -9.543
Energy relative to the elements, meV per atom: 122

Unit cell a=2.9114 b=4.0367 c=4.0367 alpha=90.00 beta=90.00 gamma=90.00
Last column: magnetic moment on the atom in μB.
Positions (direct):
Fe 0.0000 0.0000 0.5000  1.65
Fe 0.5000 0.5000 0.5000  2.38
Fe 0.0000 0.5000 0.0000  1.65
Mo 0.5000 0.0000 0.0000  -0.37



Density functional theory data (PBEsol) for a geometry-optimized Fe3Mo structure.

Calculated values
Space-group type: P4/mmm
Magnetic moment, μB/f.u.: 6.058
Energy, eV per atom: -9.587
Energy relative to the elements, meV per atom: 78

Unit cell a=2.8654 b=2.8654 c=5.8198 alpha=90.00 beta=90.00 gamma=90.00
Last column: magnetic moment on the atom in μB.
Positions (direct):
Mo 0.5000 0.5000 0.5000  -0.21
Fe 0.0000 0.0000 0.7663  1.89
Fe 0.5000 0.5000 0.0000  2.50
Fe 0.0000 0.0000 0.2337  1.89